# 1
Entry from Alexandria via LeMat-Bulk: Al2In2Sn after structural relaxation (GGA-PBE).

## Properties
DFT formation energy: 15.7 kJ per mole of atoms
crystal system: tetragonal
calculated total energy: -3.2300 eV/atom
ρ: 5.69 Mg/m³

a b c (Å): 8.257 8.257 3.446
angles (deg): 90.00 90.00 90.00
Sites, in units of the cell vectors:
Al 0.618 0.118 0.000
Al 0.882 0.618 0.000
Al 0.382 0.882 0.000
Al 0.118 0.382 0.000
Sn 0.500 0.500 0.000
Sn 0.000 0.000 0.000
In 0.820 0.320 0.500
In 0.180 0.680 0.500
In 0.320 0.180 0.500
In 0.680 0.820 0.500



# 2
Entry from Alexandria via LeMat-Bulk: Al2InSn2 after structural relaxation (GGA-PBE).

## Properties
DFT formation energy: 11.6 kJ per mole of atoms
crystal system: tetragonal
calculated total energy: -3.5251 eV/atom
ρ: 5.31 Mg/m³

a b c (Å): 3.989 3.989 8.464
angles (deg): 76.37 76.37 90.00
Sites, in units of the cell vectors:
Sn 0.383 0.383 0.235
Sn 0.617 0.617 0.765
Al 0.750 0.250 0.500
Al 0.250 0.750 0.500
In 0.000 0.000 0.000



# 3
Entry from Alexandria via LeMat-Bulk: Al2In2Sn after structural relaxation (GGA-PBE).

## Properties
DFT formation energy: 18.2 kJ per mole of atoms
crystal system: tetragonal
calculated total energy: -3.2048 eV/atom
ρ: 5.43 Mg/m³

a b c (Å): 3.872 3.872 8.654
angles (deg): 77.07 77.07 90.00
Sites, in units of the cell vectors:
Al 0.750 0.250 0.500
Al 0.250 0.750 0.500
Sn 0.000 0.000 0.000
In 0.608 0.608 0.784
In 0.392 0.392 0.216



# 4
Entry from Alexandria via LeMat-Bulk: Al2InSn2 after structural relaxation (GGA-PBE).

## Properties
DFT formation energy: 15.5 kJ per mole of atoms
crystal system: tetragonal
calculated total energy: -3.4854 eV/atom
ρ: 5.61 Mg/m³

a b c (Å): 8.514 8.514 3.315
angles (deg): 90.00 90.00 90.00
Sites, in units of the cell vectors:
Sn 0.845 0.655 0.000
Sn 0.655 0.155 0.000
Sn 0.345 0.845 0.000
Sn 0.155 0.345 0.000
Al 0.139 0.639 0.500
Al 0.861 0.361 0.500
Al 0.361 0.139 0.500
Al 0.639 0.861 0.500
In 0.500 0.500 0.000
In 0.000 0.000 0.000



# 5
Entry from Alexandria via LeMat-Bulk: Al3In5Sn12 after structural relaxation (GGA-PBE).

## Properties
DFT formation energy: 19.0 kJ per mole of atoms
crystal system: cubic
calculated total energy: -3.4504 eV/atom
ρ: 5.49 Mg/m³

a b c (Å): 14.840 14.840 14.840
angles (deg): 109.47 109.47 109.47
Sites, in units of the cell vectors:
Sn 0.061 0.168 0.428
Sn 0.760 0.332 0.893
Sn 0.260 0.393 0.832
Sn 0.428 0.760 0.867
Sn 0.893 0.061 0.633
Sn 0.928 0.367 0.260
Sn 0.367 0.439 0.107
Sn 0.939 0.107 0.867
Sn 0.668 0.428 0.561
Sn 0.332 0.572 0.439
Sn 0.832 0.893 0.260
Sn 0.760 0.428 0.367
Sn 0.107 0.168 0.240
Sn 0.740 0.133 0.072
Sn 0.561 0.928 0.668
Sn 0.939 0.832 0.572
Sn 0.607 0.740 0.668
Sn 0.832 0.939 0.072
Sn 0.332 0.760 0.393
Sn 0.133 0.393 0.061
Sn 0.928 0.561 0.168
Sn 0.072 0.439 0.832
Sn 0.439 0.072 0.332
Sn 0.393 0.133 0.561
Sn 0.072 0.633 0.740
Sn 0.260 0.867 0.928
Sn 0.893 0.832 0.760
Sn 0.561 0.633 0.393
Sn 0.633 0.072 0.240
Sn 0.439 0.367 0.607
Sn 0.428 0.668 0.061
Sn 0.107 0.939 0.367
Sn 0.240 0.668 0.107
Sn 0.572 0.240 0.133
Sn 0.668 0.240 0.607
Sn 0.740 0.607 0.168
Sn 0.367 0.928 0.760
Sn 0.168 0.107 0.740
Sn 0.867 0.260 0.428
Sn 0.633 0.561 0.893
Sn 0.393 0.260 0.332
Sn 0.240 0.572 0.633
Sn 0.168 0.061 0.928
Sn 0.133 0.740 0.572
Sn 0.061 0.893 0.133
Sn 0.572 0.332 0.939
Sn 0.607 0.867 0.439
Sn 0.867 0.607 0.939
In 0.000 0.000 0.000
In 0.000 0.500 0.500
In 0.125 0.750 0.375
In 0.750 0.625 0.375
In 0.375 0.250 0.125
In 0.625 0.875 0.250
In 0.500 0.000 0.000
In 0.000 0.500 0.000
In 0.875 0.625 0.750
In 0.750 0.125 0.875
In 0.250 0.875 0.125
In 0.000 0.000 0.500
In 0.500 0.500 0.500
In 0.625 0.750 0.875
In 0.875 0.250 0.625
In 0.250 0.375 0.625
In 0.500 0.500 0.000
In 0.375 0.125 0.750
In 0.500 0.000 0.500
In 0.125 0.375 0.250
Al 0.625 0.375 0.750
Al 0.875 0.125 0.250
Al 0.375 0.625 0.250
Al 0.750 0.375 0.125
Al 0.250 0.625 0.875
Al 0.750 0.875 0.625
Al 0.125 0.250 0.875
Al 0.625 0.250 0.375
Al 0.125 0.875 0.750
Al 0.875 0.750 0.125
Al 0.250 0.125 0.375
Al 0.375 0.750 0.625



# 6
Entry from Alexandria via LeMat-Bulk: Ta2AlInSn after structural relaxation (GGA-PBE).

## Properties
DFT formation energy: 157.7 kJ per mole of atoms
crystal system: tetragonal
calculated total energy: -5.2029 eV/atom
ρ: 8.34 Mg/m³

a b c (Å): 5.162 5.162 4.650
angles (deg): 90.00 90.00 90.00
Sites, in units of the cell vectors:
Sn 0.500 0.500 0.500
Al 0.000 0.000 0.500
Ta 0.000 0.500 0.000
Ta 0.500 0.000 0.000
In 0.000 0.000 0.000



# 7
Entry from Alexandria via LeMat-Bulk: AlTlInSn after structural relaxation (GGA-PBE).

## Properties
DFT formation energy: 15.8 kJ per mole of atoms
crystal system: cubic
calculated total energy: -3.0491 eV/atom
ρ: 7.44 Mg/m³

a b c (Å): 5.274 5.274 5.274
angles (deg): 60.00 60.00 60.00
Sites, in units of the cell vectors:
Sn 0.250 0.250 0.250
In 0.500 0.500 0.500
Tl 0.750 0.750 0.750
Al 0.000 0.000 0.000



# 8
Entry from Alexandria via LeMat-Bulk: AlZnInSn after structural relaxation (GGA-PBE).

## Properties
DFT formation energy: 16.0 kJ per mole of atoms
crystal system: cubic
calculated total energy: -2.7736 eV/atom
ρ: 6.05 Mg/m³

a b c (Å): 5.021 5.021 5.021
angles (deg): 60.00 60.00 60.00
Sites, in units of the cell vectors:
Al 0.750 0.750 0.750
Zn 0.250 0.250 0.250
In 0.000 0.000 0.000
Sn 0.500 0.500 0.500



# 9
Entry from Alexandria via LeMat-Bulk: SrAl2In after structural relaxation (GGA-PBE).

## Properties
DFT formation energy: 3.1 kJ per mole of atoms
crystal system: cubic
calculated total energy: -2.9447 eV/atom
ρ: 4.23 Mg/m³

a b c (Å): 5.222 5.222 5.222
angles (deg): 60.00 60.00 60.00
Sites, in units of the cell vectors:
In 0.500 0.500 0.500
Al 0.250 0.250 0.250
Al 0.750 0.750 0.750
Sr 0.000 0.000 0.000



# 10
Entry from Alexandria via LeMat-Bulk: SrAl2In after structural relaxation (GGA-PBE).

## Properties
DFT formation energy: -6.0 kJ per mole of atoms
crystal system: orthorhombic
calculated total energy: -3.0385 eV/atom
ρ: 3.96 Mg/m³

a b c (Å): 4.411 3.958 6.472
angles (deg): 72.21 90.00 90.00
Sites, in units of the cell vectors:
Al 0.500 0.055 0.263
Al 0.000 0.171 0.033
In 0.000 0.482 0.413
Sr 0.500 0.792 0.791



# 11
Entry from Alexandria via LeMat-Bulk: Sr8AlIn2 after structural relaxation (GGA-PBE).

## Properties
DFT formation energy: -14.0 kJ per mole of atoms
crystal system: orthorhombic
calculated total energy: -2.2065 eV/atom
ρ: 3.61 Mg/m³

a b c (Å): 5.714 9.173 9.999
angles (deg): 117.30 106.60 90.00
Sites, in units of the cell vectors:
Sr 0.000 0.693 0.000
Sr 0.856 0.856 0.712
Sr 0.000 0.307 0.000
Sr 0.341 0.564 0.683
Sr 0.144 0.144 0.288
Sr 0.659 0.881 0.317
Sr 0.341 0.119 0.683
Sr 0.659 0.436 0.317
In 0.813 0.313 0.626
In 0.187 0.687 0.374
Al 0.500 0.000 0.000



# 12
Entry from Alexandria via LeMat-Bulk: SrAlIn2 after structural relaxation (GGA-PBE).

## Properties
DFT formation energy: -15.8 kJ per mole of atoms
crystal system: tetragonal
calculated total energy: -2.8894 eV/atom
ρ: 5.36 Mg/m³

a b c (Å): 4.756 4.733 4.733
angles (deg): 90.00 90.00 90.00
Sites, in units of the cell vectors:
Sr 0.500 0.500 0.500
In 0.000 0.500 0.000
In 0.000 0.000 0.500
Al 0.500 0.000 0.000



# 13
Entry from Alexandria via LeMat-Bulk: Sr6AlIn5 after structural relaxation (GGA-PBE).

## Properties
DFT formation energy: -35.9 kJ per mole of atoms
crystal system: monoclinic
calculated total energy: -2.6655 eV/atom
ρ: 4.69 Mg/m³

a b c (Å): 5.708 8.140 9.020
angles (deg): 90.00 107.85 90.00
Sites, in units of the cell vectors:
Sr 0.500 0.245 0.000
Sr 0.500 0.755 0.000
Sr 0.164 0.248 0.330
Sr 0.164 0.752 0.330
Sr 0.836 0.248 0.670
Sr 0.836 0.752 0.670
In 0.666 0.000 0.334
In 0.000 0.500 0.000
In 0.334 0.000 0.666
In 0.335 0.500 0.666
In 0.665 0.500 0.334
Al 0.000 0.000 0.000



# 14
Entry from Alexandria via LeMat-Bulk: SrAl2In after structural relaxation (GGA-PBE).

## Properties
DFT formation energy: -18.3 kJ per mole of atoms
crystal system: orthorhombic
calculated total energy: -3.1656 eV/atom
ρ: 4.21 Mg/m³

a b c (Å): 4.600 6.327 7.468
angles (deg): 90.00 90.00 111.32
Sites, in units of the cell vectors:
Sr 0.738 0.476 0.500
Sr 0.593 0.185 0.000
In 0.298 0.595 0.799
In 0.298 0.595 0.201
Al 0.027 0.054 0.687
Al 0.887 0.774 0.000
Al 0.027 0.054 0.313
Al 0.462 0.925 0.500



# 15
Entry from Alexandria via LeMat-Bulk: SrAlIn after structural relaxation (GGA-PBE).

## Properties
DFT formation energy: -28.4 kJ per mole of atoms
crystal system: hexagonal
calculated total energy: -3.0157 eV/atom
ρ: 4.41 Mg/m³

a b c (Å): 4.807 4.807 4.316
angles (deg): 90.00 90.00 120.00
Sites, in units of the cell vectors:
Sr 0.333 0.667 0.667
In 0.667 0.333 0.166
Al 0.000 0.000 0.167



# 16
Entry from Alexandria via LeMat-Bulk: SrAlIn2 after structural relaxation (GGA-PBE).

## Properties
DFT formation energy: -0.4 kJ per mole of atoms
crystal system: tetragonal
calculated total energy: -2.7294 eV/atom
ρ: 4.37 Mg/m³

a b c (Å): 5.184 5.184 10.405
angles (deg): 75.57 75.57 90.00
Sites, in units of the cell vectors:
In 0.245 0.625 0.250
In 0.875 0.755 0.750
In 0.505 0.125 0.250
In 0.375 0.495 0.750
Al 0.500 0.500 0.000
Al 0.250 0.750 0.500
Sr 0.750 0.250 0.500
Sr 0.000 0.000 0.000



# 17
Entry from Alexandria via LeMat-Bulk: SrAlIn2 after structural relaxation (GGA-PBE).

## Properties
DFT formation energy: -0.2 kJ per mole of atoms
crystal system: monoclinic
calculated total energy: -2.7271 eV/atom
ρ: 5.11 Mg/m³

a b c (Å): 5.943 6.514 3.370
angles (deg): 76.56 86.70 116.19
Sites, in units of the cell vectors:
Al 0.500 0.500 0.000
In 0.500 0.000 0.500
In 0.000 0.000 0.000
Sr 0.000 0.500 0.500



# 18
Entry from Alexandria via LeMat-Bulk: Sr4Al3In after structural relaxation (GGA-PBE).

## Properties
DFT formation energy: -21.8 kJ per mole of atoms
crystal system: orthorhombic
calculated total energy: -2.8126 eV/atom
ρ: 3.36 Mg/m³

a b c (Å): 4.564 4.697 12.611
angles (deg): 90.00 90.00 90.00
Sites, in units of the cell vectors:
Al 0.500 0.000 0.935
Al 0.000 0.000 0.442
Al 0.000 0.500 0.559
Sr 0.500 0.000 0.646
Sr 0.500 0.500 0.356
Sr 0.000 0.500 0.850
Sr 0.000 0.000 0.148
In 0.500 0.500 0.064



# 19
Entry from Alexandria via LeMat-Bulk: Sr2Al2In after structural relaxation (GGA-PBE).

## Properties
DFT formation energy: -16.8 kJ per mole of atoms
crystal system: orthorhombic
calculated total energy: -2.8915 eV/atom
ρ: 3.96 Mg/m³

a b c (Å): 3.855 4.828 8.126
angles (deg): 107.28 90.00 90.00
Sites, in units of the cell vectors:
Al 0.500 0.505 0.010
Al 0.500 0.315 0.630
Sr 0.000 0.695 0.390
Sr 0.000 0.921 0.843
In 0.500 0.105 0.211



# 20
Entry from Alexandria via LeMat-Bulk: Sr2AlIn2 after structural relaxation (GGA-PBE).

## Properties
DFT formation energy: -36.7 kJ per mole of atoms
crystal system: monoclinic
calculated total energy: -2.8967 eV/atom
ρ: 4.60 Mg/m³

a b c (Å): 4.862 6.488 10.937
angles (deg): 83.30 77.16 68.00
Sites, in units of the cell vectors:
Al 0.216 0.913 0.655
Al 0.784 0.087 0.345
Sr 0.507 0.319 0.666
Sr 0.689 0.732 0.890
Sr 0.493 0.681 0.334
Sr 0.311 0.268 0.110
In 0.018 0.845 0.118
In 0.850 0.744 0.556
In 0.982 0.155 0.882
In 0.150 0.256 0.444



# 21
Entry from Alexandria via LeMat-Bulk: Sr5Al2In after structural relaxation (GGA-PBE).

## Properties
DFT formation energy: -21.0 kJ per mole of atoms
crystal system: tetragonal
calculated total energy: -2.5471 eV/atom
ρ: 3.30 Mg/m³

a b c (Å): 8.617 8.617 10.242
angles (deg): 114.88 114.88 90.00
Sites, in units of the cell vectors:
Al 0.606 0.106 0.000
Al 0.894 0.606 0.000
Al 0.394 0.894 0.000
Al 0.106 0.394 0.000
Sr 0.500 0.500 0.000
Sr 0.821 0.965 0.286
Sr 0.000 0.000 0.000
Sr 0.465 0.321 0.286
Sr 0.321 0.821 0.286
Sr 0.965 0.465 0.286
Sr 0.679 0.179 0.714
Sr 0.179 0.035 0.714
Sr 0.035 0.535 0.714
Sr 0.535 0.679 0.714
In 0.250 0.250 0.500
In 0.750 0.750 0.500



# 22
Entry from Alexandria via LeMat-Bulk: SrAlIn after structural relaxation (GGA-PBE).

## Properties
DFT formation energy: -13.4 kJ per mole of atoms
crystal system: tetragonal
calculated total energy: -2.8603 eV/atom
ρ: 4.45 Mg/m³

a b c (Å): 6.518 6.518 3.798
angles (deg): 73.07 73.06 33.87
Sites, in units of the cell vectors:
Al 0.974 0.974 0.026
Sr 0.664 0.664 0.336
In 0.363 0.363 0.637